RePt2Rh | meta-GGA SCAN | single point on PBEsol structure

Structure (extended XYZ):
```
4
Lattice="4.547 -1.353 0.000 4.547 1.353 0.000 -0.795 0.000 4.673" Properties=species:S:1:pos:R:3 pbc="T T T"
Re 0.000 0.000 0.000
Pt 4.171 0.000 2.366
Pt 6.614 0.000 1.154
Rh 1.713 0.000 3.568
```

Calculated values
formation energy = -125 meV/atom
mass density = 19.6 g/cm3
SG = Cm (8)
E above lowest polymorph = 0.034 eV per atom